1.
Below is a relaxed structure of Th2CoBr, with properties calculated at the PBE level.

a b c (Å): 4.0514 4.0514 8.1836
angles (deg): 75.67 75.67 60.00
Last column: nearest neighbours and their distance in Å.
Element x y z (fractional)
Br 0.4979 0.4979 0.5062  6 Th 3.39-3.49
Th 0.0601 0.0601 0.8197  3 Co 2.72
Th 0.2744 0.2744 0.1767  3 Co 2.73
Co 0.6675 0.6675 0.9974  6 Th 2.72-2.73

Summary:
Space group   R3m
Energy above the most stable polymorph in this dataset   5.2 meV/atom

2.
Below is a relaxed structure of TiCo3Br, with properties calculated at the PBE level.

a b c (Å): 4.2933 4.2933 4.2933
angles (deg): 90.00 90.00 90.00
Last column: nearest neighbours and their distance in Å.
Element x y z (fractional)
Co 0.0000 0.0000 0.5000  2 Br 2.15
Co 0.5000 0.0000 0.0000  2 Br 2.15
Co 0.0000 0.5000 0.0000  2 Br 2.15
Ti 0.5000 0.5000 0.5000  12 Co 3.04
Br 0.0000 0.0000 0.0000  6 Co 2.15

Summary:
Space group   Pm-3m
Energy above the most stable polymorph in this dataset   0.0 meV/atom

3.
Below is a relaxed structure of Ti2CoBr, with properties calculated at the PBE level.

a b c (Å): 6.6274 6.6274 5.6268
angles (deg): 53.92 53.92 90.00
Last column: nearest neighbours and their distance in Å.
Element x y z (fractional)
Co 0.5000 0.5000 0.0000  4 Ti 2.34
Co 0.2500 0.7500 0.5000  4 Ti 2.34
Br 0.0000 0.0000 0.0000  4 Ti 2.61
Br 0.7500 0.2500 0.5000  4 Ti 2.61
Ti 0.1557 0.6250 0.2500  2 Co 2.34, 2 Br 2.61
Ti 0.3750 0.4057 0.7500  2 Co 2.34, 2 Br 2.61
Ti 0.5943 0.1250 0.2500  2 Co 2.34, 2 Br 2.61
Ti 0.8750 0.8443 0.7500  2 Co 2.34, 2 Br 2.61

Summary:
Space group   I-42d
Energy above the most stable polymorph in this dataset   0.0 meV/atom

4.
Below is a relaxed structure of Ti2CoBr, with properties calculated at the PBE level.

a b c (Å): 4.4251 4.4251 4.4251
angles (deg): 60.00 60.00 60.00
Last column: nearest neighbours and their distance in Å.
Element x y z (fractional)
Ti 0.2500 0.2500 0.2500  4 Br 2.71, 4 Co 2.71
Ti 0.7500 0.7500 0.7500  4 Co 2.71, 4 Br 2.71
Co 0.0000 0.0000 0.0000  8 Ti 2.71
Br 0.5000 0.5000 0.5000  8 Ti 2.71

Summary:
Space group   Fm-3m
Energy above the most stable polymorph in this dataset   23.2 meV/atom

5.
Below is a relaxed structure of Ti2CoBr2, with properties calculated at the PBE level.

a b c (Å): 6.5742 6.5742 4.5865
angles (deg): 90.00 90.00 90.00
Last column: nearest neighbours and their distance in Å.
Element x y z (fractional)
Br 0.3258 0.1742 0.5000  2 Ti 2.59
Br 0.1742 0.6742 0.5000  2 Ti 2.59
Br 0.8258 0.3258 0.5000  2 Ti 2.59
Br 0.6742 0.8258 0.5000  2 Ti 2.59
Ti 0.3035 0.8035 0.0000  2 Co 2.38, 2 Br 2.59
Ti 0.8035 0.6965 0.0000  2 Co 2.38, 2 Br 2.59
Ti 0.6965 0.1965 0.0000  2 Co 2.38, 2 Br 2.59
Ti 0.1965 0.3035 0.0000  2 Co 2.38, 2 Br 2.59
Co 0.5000 0.5000 0.0000  4 Ti 2.38
Co 0.0000 0.0000 0.0000  4 Ti 2.38

Summary:
Space group   P4/mbm

6.
Below is a relaxed structure of Ti3CoBr, with properties calculated at the PBE level.

a b c (Å): 4.5897 4.5897 4.5897
angles (deg): 90.00 90.00 90.00
Last column: nearest neighbours and their distance in Å.
Element x y z (fractional)
Br 0.5000 0.5000 0.5000  12 Ti 3.25
Ti 0.0000 0.0000 0.5000  2 Co 2.29
Ti 0.0000 0.5000 0.0000  2 Co 2.29
Ti 0.5000 0.0000 0.0000  2 Co 2.29
Co 0.0000 0.0000 0.0000  6 Ti 2.29

Summary:
Space group   Pm-3m
Energy above the most stable polymorph in this dataset   0.0 meV/atom

7.
Below is a relaxed structure of Ti3CoBr, with properties calculated at the PBE level.

a b c (Å): 4.5977 4.5977 4.5977
angles (deg): 90.00 90.00 90.00
Last column: nearest neighbours and their distance in Å.
Element x y z (fractional)
Co 0.5000 0.5000 0.5000  12 Ti 3.25
Ti 0.0000 0.5000 0.0000  2 Br 2.30
Ti 0.5000 0.0000 0.0000  2 Br 2.30
Ti 0.0000 0.0000 0.5000  2 Br 2.30
Br 0.0000 0.0000 0.0000  6 Ti 2.30

Summary:
Space group   Pm-3m
Energy above the most stable polymorph in this dataset   521.1 meV/atom

8.
Below is a relaxed structure of TiCo3Br, with properties calculated at the PBE level.

a b c (Å): 4.4679 4.4679 4.4679
angles (deg): 90.00 90.00 90.00
Last column: nearest neighbours and their distance in Å.
Element x y z (fractional)
Co 0.0000 0.0000 0.5000  2 Ti 2.23
Co 0.5000 0.0000 0.0000  2 Ti 2.23
Co 0.0000 0.5000 0.0000  2 Ti 2.23
Ti 0.0000 0.0000 0.0000  6 Co 2.23
Br 0.5000 0.5000 0.5000  12 Co 3.16

Summary:
Space group   Pm-3m
Energy above the most stable polymorph in this dataset   220.4 meV/atom

9.
Below is a relaxed structure of TiCoBr3, with properties calculated at the PBE level.

a b c (Å): 5.1389 5.1389 5.1389
angles (deg): 90.00 90.00 90.00
Last column: nearest neighbours and their distance in Å.
Element x y z (fractional)
Ti 0.0000 0.0000 0.0000  6 Br 2.57
Br 0.0000 0.0000 0.5000  2 Ti 2.57
Br 0.0000 0.5000 0.0000  2 Ti 2.57
Br 0.5000 0.0000 0.0000  2 Ti 2.57
Co 0.5000 0.5000 0.5000  12 Br 3.63

Summary:
Space group   Pm-3m
Energy above the most stable polymorph in this dataset   0.0 meV/atom

10.
Below is a relaxed structure of TiCoWBr2, with properties calculated at the PBE level.

a b c (Å): 4.9503 5.0962 4.9503
angles (deg): 90.00 90.00 90.00
Last column: nearest neighbours and their distance in Å.
Element x y z (fractional)
W 0.0000 0.0000 0.0000  4 Br 2.48, 2 Ti 2.55
Ti 0.0000 0.5000 0.0000  2 W 2.55
Br 0.5000 0.0000 0.0000  2 W 2.48
Br 0.0000 0.0000 0.5000  2 W 2.48
Co 0.5000 0.5000 0.5000  4 Ti 3.50, 8 Br 3.55

Summary:
Space group   P4/mmm

11.
Below is a relaxed structure of TlCoBr, with properties calculated at the PBE level.

a b c (Å): 7.0467 7.0012 3.2916
angles (deg): 77.22 75.68 27.10
Last column: nearest neighbours and their distance in Å.
Element x y z (fractional)
Co 0.3603 0.3603 0.6397  4 Br 2.51-2.64
Br 0.9435 0.9435 0.0565  4 Co 2.51-2.64
Tl 0.6962 0.6962 0.3038  4 Co 3.13-3.24, 1 Br 3.28, 4 Tl 3.29

Summary:
Space group   Fmm2
Energy above the most stable polymorph in this dataset   116.7 meV/atom

12.
Below is a relaxed structure of TlCoBr, with properties calculated at the PBE level.

a b c (Å): 3.6874 3.6874 6.1112
angles (deg): 90.00 90.00 120.00
Last column: nearest neighbours and their distance in Å.
Element x y z (fractional)
Co 0.6667 0.3333 0.3015  3 Br 2.46
Tl 0.3333 0.6667 0.5974  3 Co 2.79
Br 0.0000 0.0000 0.1011  3 Co 2.46

Summary:
Space group   P3m1
Energy above the most stable polymorph in this dataset   0.0 meV/atom

In order of appearance, E = -26.39, -25.71, -23.84, -23.75, -25.69, -31.03, -28.42, -24.61, -19.38, -24.34, -10.17, -10.52 eV/f.u..